Record 1
# Zr3Zn3Hg2 (PBE-GGA, optimized geometry)
data_Zr3Zn3Hg2
_cell_length_a 4.1255
_cell_length_b 13.9180
_cell_length_c 5.8543
_cell_angle_alpha 90.00
_cell_angle_beta 110.63
_cell_angle_gamma 90.00
_space_group_name_H-M_alt 'P 1 21/m 1'
_space_group_IT_number 11
loop_
_space_group_symop_operation_xyz
'x,y,z'
'-x,-y,-z'
'-x,y+1/2,-z'
'x,-y+1/2,z'
loop_
_atom_site_label
_atom_site_fract_x
_atom_site_fract_y
_atom_site_fract_z
Zr1 0.0587 0.1256 0.1166
Zr2 0.3575 0.2500 0.7128
Zn1 0.3727 0.7500 0.7468
Zn2 0.4058 0.0430 0.8105
Hg1 0.2260 0.5958 0.4531
# - DFT formation energy: -149 meV per atom
# - Electronic total energy: -62.52 eV per cell


Record 2
# ZrZnHg2 (PBE-GGA, optimized geometry)
data_ZrZnHg2
_cell_length_a 4.3690
_cell_length_b 4.3690
_cell_length_c 8.5520
_cell_angle_alpha 90.00
_cell_angle_beta 90.00
_cell_angle_gamma 90.00
_space_group_name_H-M_alt 'I 4/m m m'
_space_group_IT_number 139
_space_group_name_Hall '-I 4 2'
loop_
_atom_site_label
_atom_site_fract_x
_atom_site_fract_y
_atom_site_fract_z
Zr1 0.0000 0.0000 0.0000
Zn1 0.0000 0.0000 0.5000
Hg1 0.0000 0.5000 0.2500
# - DFT formation energy: -6 meV per atom
# - Electronic total energy: -20.90 eV per cell


Record 3
# Zr2ZnHg (PBE-GGA, optimized geometry)
data_Zr2ZnHg
_cell_length_a 3.2376
_cell_length_b 4.1038
_cell_length_c 6.0832
_cell_angle_alpha 90.00
_cell_angle_beta 90.09
_cell_angle_gamma 90.00
_space_group_name_H-M_alt 'P 1 2/m 1'
_space_group_IT_number 10
loop_
_space_group_symop_operation_xyz
'x,y,z'
'-x,-y,-z'
'-x,y,-z'
'x,-y,z'
loop_
_atom_site_label
_atom_site_fract_x
_atom_site_fract_y
_atom_site_fract_z
Zr1 0.9998 0.0000 0.2412
Zn1 0.5000 0.5000 0.0000
Hg1 0.5000 0.5000 0.5000
# - DFT formation energy: -201 meV per atom
# - Excess energy over the best structure of this formula in the dataset: 0.0095 eV/atom
# - Electronic total energy: -19.48 eV per cell


Record 4
# ZrZnHg3 (PBE-GGA, optimized geometry)
data_ZrZnHg3
_cell_length_a 5.6969
_cell_length_b 5.6969
_cell_length_c 5.6969
_cell_angle_alpha 90.00
_cell_angle_beta 90.00
_cell_angle_gamma 90.00
_space_group_name_H-M_alt 'P m -3 m'
_space_group_IT_number 221
_space_group_name_Hall '-P 4 2 3'
loop_
_atom_site_label
_atom_site_fract_x
_atom_site_fract_y
_atom_site_fract_z
Zr1 0.0000 0.0000 0.0000
Zn1 0.5000 0.5000 0.5000
Hg1 0.0000 0.0000 0.5000
# - DFT formation energy: 671 meV per atom
# - Excess energy over the best structure of this formula in the dataset: 0.1591 eV/atom
# - Electronic total energy: -7.37 eV per cell


Record 5
# Zr3ZnHg (PBE-GGA, optimized geometry)
data_Zr3ZnHg
_cell_length_a 4.9671
_cell_length_b 4.9671
_cell_length_c 4.9671
_cell_angle_alpha 90.00
_cell_angle_beta 90.00
_cell_angle_gamma 90.00
_space_group_name_H-M_alt 'P m -3 m'
_space_group_IT_number 221
_space_group_name_Hall '-P 4 2 3'
loop_
_atom_site_label
_atom_site_fract_x
_atom_site_fract_y
_atom_site_fract_z
Zr1 0.0000 0.0000 0.5000
Zn1 0.0000 0.0000 0.0000
Hg1 0.5000 0.5000 0.5000
# - DFT formation energy: 478 meV per atom
# - Excess energy over the best structure of this formula in the dataset: 0.5053 eV/atom
# - Electronic total energy: -24.83 eV per cell


Record 6
# Zr3Zn4Hg2 (PBE-GGA, optimized geometry)
data_Zr3Zn4Hg2
_cell_length_a 10.1248
_cell_length_b 4.5227
_cell_length_c 8.4484
_cell_angle_alpha 90.00
_cell_angle_beta 118.98
_cell_angle_gamma 90.00
_space_group_name_H-M_alt 'C 1 2/m 1'
_space_group_IT_number 12
loop_
_space_group_symop_operation_xyz
'x,y,z'
'-x,-y,-z'
'-x,y,-z'
'x,-y,z'
'x+1/2,y+1/2,z'
'-x+1/2,-y+1/2,-z'
'-x+1/2,y+1/2,-z'
'x+1/2,-y+1/2,z'
loop_
_atom_site_label
_atom_site_fract_x
_atom_site_fract_y
_atom_site_fract_z
Zr1 0.0000 0.0000 0.0000
Zr2 0.1630 0.5000 0.6731
Zn1 0.0506 0.0000 0.3915
Zn2 0.2316 0.5000 0.0551
Hg1 0.1171 0.5000 0.2803
# - DFT formation energy: -209 meV per atom
# - Electronic total energy: -66.45 eV per cell


Record 7
# Zr2ZnHg (PBE-GGA, optimized geometry)
data_Zr2ZnHg
_cell_length_a 3.2820
_cell_length_b 4.0793
_cell_length_c 6.2180
_cell_angle_alpha 90.00
_cell_angle_beta 90.00
_cell_angle_gamma 90.00
_space_group_name_H-M_alt 'P m m 2'
_space_group_IT_number 25
loop_
_space_group_symop_operation_xyz
'x,y,z'
'-x,-y,z'
'-x,y,z'
'x,-y,z'
loop_
_atom_site_label
_atom_site_fract_x
_atom_site_fract_y
_atom_site_fract_z
Zr1 0.0000 0.0000 0.0000
Zr2 0.5000 0.5000 0.2715
Zn1 0.5000 0.5000 0.7812
Hg1 0.0000 0.0000 0.5238
# - DFT formation energy: -95 meV per atom
# - Excess energy over the best structure of this formula in the dataset: 0.1152 eV/atom
# - Electronic total energy: -19.05 eV per cell


Record 8
# ZrZnHg2 (PBE-GGA, optimized geometry)
data_ZrZnHg2
_cell_length_a 10.1686
_cell_length_b 3.1339
_cell_length_c 5.4549
_cell_angle_alpha 90.00
_cell_angle_beta 105.42
_cell_angle_gamma 90.00
_space_group_name_H-M_alt 'C 1 m 1'
_space_group_IT_number 8
loop_
_space_group_symop_operation_xyz
'x,y,z'
'x,-y,z'
'x+1/2,y+1/2,z'
'x+1/2,-y+1/2,z'
loop_
_atom_site_label
_atom_site_fract_x
_atom_site_fract_y
_atom_site_fract_z
Zr1 0.0000 0.0000 0.0000
Zn1 0.2593 0.0000 0.7543
Hg1 0.0238 0.5000 0.5225
Hg2 0.2600 0.5000 0.2486
# - DFT formation energy: 16 meV per atom
# - Electronic total energy: -20.72 eV per cell